VASP calculation (PBE with a Hubbard U) on a relaxed structure of NiBiF3.

The distance to the lowest polymorph of the same formula comes out at 590 meV/atom. As for the magnetic moment: 0.05 μB/atom.

Unit cell a=4.5791 b=4.5791 c=4.5791 alpha=90.00 beta=90.00 gamma=90.00
Last column: nearest neighbours and their distance in Å.
Space group Pm-3m (No. 221)
One atom of each set of equivalent atoms:
Ni (0.0000, 0.0000, 0.0000) (multiplicity 1)  12 F 3.24
Bi (0.5000, 0.5000, 0.5000) (multiplicity 1)  6 F 2.29
F (0.0000, 0.5000, 0.5000) (multiplicity 3)  2 Bi 2.29